No. 1
Crystalline Nd2YCu4Pb4 at its relaxed geometry. Source: the Open Quantum Materials Database, functional PBE.

Unit cell a=8.740 b=8.740 c=8.740 alpha=148.98 beta=132.48 gamma=57.84
Sites, in units of the cell vectors:
1 Nd 0.133 0.133 0.000
2 Nd 0.867 0.867 0.000
3 Y 0.500 0.000 0.500
4 Cu 0.147 0.331 0.816
5 Cu 0.485 0.669 0.816
6 Cu 0.515 0.331 0.184
7 Cu 0.853 0.669 0.184
8 Pb 0.212 0.500 0.712
9 Pb 0.285 0.785 0.500
10 Pb 0.715 0.215 0.500
11 Pb 0.788 0.500 0.288

No. 2
Crystalline NdCu5Pd7 at its relaxed geometry. Source: the Open Quantum Materials Database, functional PBE.

Unit cell a=6.758 b=6.758 c=6.758 alpha=136.30 beta=98.71 gamma=97.21
Sites, in units of the cell vectors:
1 Nd 0.000 0.000 0.000
2 Cu 0.500 0.496 0.503
3 Cu 0.500 0.997 0.004
4 Cu 0.765 0.265 0.500
5 Cu 0.993 0.496 0.996
6 Cu 0.993 0.997 0.497
7 Pd 0.201 0.493 0.708
8 Pd 0.222 0.722 0.500
9 Pd 0.344 0.999 0.346
10 Pd 0.347 0.347 0.000
11 Pd 0.651 0.651 0.000
12 Pd 0.653 0.999 0.654
13 Pd 0.785 0.493 0.292

Results
Energy of formation from the pure elements in eV/atom: -0.330

No. 3
Crystalline NdCu4Pd at its relaxed geometry. Source: the Open Quantum Materials Database, functional PBE.

Unit cell a=5.067 b=5.067 c=5.067 alpha=60.00 beta=60.00 gamma=60.00
Sites, in units of the cell vectors:
1 Nd 0.000 0.000 0.000
2 Cu 0.130 0.623 0.623
3 Cu 0.623 0.130 0.623
4 Cu 0.623 0.623 0.130
5 Cu 0.623 0.623 0.623
6 Pd 0.250 0.250 0.250

Results
Energy of formation from the pure elements in eV/atom: -0.301

No. 4
Crystalline Pr2NdCu2Si4Pd2 at its relaxed geometry. Source: the Open Quantum Materials Database, functional PBE.

Unit cell a=12.372 b=12.372 c=12.372 alpha=160.60 beta=160.26 gamma=27.81
Sites, in units of the cell vectors:
1 Pr 0.146 0.146 0.000
2 Pr 0.854 0.854 0.000
3 Nd 0.000 0.500 0.500
4 Cu 0.404 0.404 0.000
5 Cu 0.596 0.596 0.000
6 Si 0.305 0.305 0.000
7 Si 0.450 0.950 0.500
8 Si 0.550 0.050 0.500
9 Si 0.695 0.695 0.000
10 Pd 0.249 0.749 0.500
11 Pd 0.751 0.251 0.500

Results
Energy above the most stable polymorph in this dataset in meV/atom: 9

No. 5
Crystalline Pr2NdCu2Si4Pd2 at its relaxed geometry. Source: the Open Quantum Materials Database, functional PBE.

Unit cell a=12.588 b=12.588 c=12.588 alpha=161.05 beta=160.70 gamma=27.17
Sites, in units of the cell vectors:
1 Pr 0.152 0.152 0.000
2 Pr 0.848 0.848 0.000
3 Nd 0.500 0.000 0.500
4 Cu 0.251 0.751 0.500
5 Cu 0.749 0.249 0.500
6 Si 0.048 0.548 0.500
7 Si 0.302 0.302 0.000
8 Si 0.698 0.698 0.000
9 Si 0.952 0.452 0.500
10 Pd 0.403 0.403 0.000
11 Pd 0.597 0.597 0.000

Results
Energy above the most stable polymorph in this dataset in meV/atom: 0

No. 6
Crystalline NdCu2Pd2Pt at its relaxed geometry. Source: the Open Quantum Materials Database, functional PBE.

Unit cell a=5.428 b=5.428 c=4.103 alpha=90.00 beta=90.00 gamma=120.25
Sites, in units of the cell vectors:
1 Nd 0.000 0.000 0.000
2 Cu 0.334 0.666 0.000
3 Cu 0.666 0.334 0.000
4 Pd 0.000 0.500 0.500
5 Pd 0.500 0.000 0.500
6 Pt 0.500 0.500 0.500

Results
Energy of formation from the pure elements in eV/atom: -0.541

Per-record total energy, eV per atom: -4.46, -4.91, -4.43, -5.65, -5.66, -5.31
Per-record calculated volume, Å³/cell: 251.87, 197.84, 91.99, 212.32, 214.00, 104.43